First-principles (PBEsol) data for crystalline CaReGe3 at its relaxed geometry, as listed in the Alexandria database.

a b c (Å): 4.8252 4.8252 4.8252
angles (deg): 90.00 90.00 90.00
With the nearest neighbours (Å) after each atom.
Space group Pm-3m (No. 221)
Unique sites:
Ca: 0.0000 0.0000 0.0000  12 Ge 3.41
Re: 0.5000 0.5000 0.5000  6 Ge 2.41
Ge: 0.0000 0.5000 0.5000  2 Re 2.41

Computed properties:
E_tot: -29.749 eV/f.u.
volume: 112 Å³ per cell
spin magnetization: 0.00 μB/f.u.
energy of formation: 0.11 eV per atom



First-principles (PBEsol) data for crystalline CaGe2Rh2 at its relaxed geometry, as listed in the Alexandria database.

a b c (Å): 4.1143 4.1143 10.3252
angles (deg): 90.00 90.00 90.00
With the nearest neighbours (Å) after each atom.
Space group I4/mmm (No. 139)
Unique sites:
Ca: 0.0000 0.0000 0.0000  8 Ge 3.18, 8 Rh 3.30
Ge: 0.0000 0.0000 0.3746  4 Rh 2.43, 1 Ge 2.59
Rh: 0.0000 0.5000 0.2500  4 Ge 2.43

Computed properties:
E_tot: -32.407 eV/f.u.
volume: 175 Å³ per cell
spin magnetization: 0.00 μB/f.u.
energy of formation: -0.82 eV per atom



First-principles (PBEsol) data for crystalline Ca3Ge13Rh4 at its relaxed geometry, as listed in the Alexandria database.

a b c (Å): 8.9433 8.9433 8.9433
angles (deg): 90.00 90.00 90.00
With the nearest neighbours (Å) after each atom.
Space group Pm-3n (No. 223)
Unique sites:
Ca: 0.0000 0.2500 0.5000  12 Ge 3.14-3.20, 4 Rh 3.16
Ge: 0.0000 0.0000 0.0000  12 Ge 2.99
Ge: 0.0000 0.3012 0.1459  2 Rh 2.46, 1 Ge 2.61
Rh: 0.2500 0.2500 0.2500  6 Ge 2.46

Computed properties:
E_tot: -113.251 eV/f.u.
volume: 715 Å³ per cell
spin magnetization: 0.00 μB/f.u.
energy of formation: -0.50 eV per atom



First-principles (PBEsol) data for crystalline Ca2Ge2Rh at its relaxed geometry, as listed in the Alexandria database.

a b c (Å): 6.6441 6.6441 4.5307
angles (deg): 90.00 90.00 90.00
With the nearest neighbours (Å) after each atom.
Space group P4/mbm (No. 127)
Unique sites:
Ca: 0.1755 0.3245 0.0000  6 Ge 2.88-3.08
Ge: 0.1360 0.6360 0.5000  1 Ge 2.56, 2 Rh 2.58
Rh: 0.0000 0.0000 0.5000  4 Ge 2.58

Computed properties:
E_tot: -25.650 eV/f.u.
volume: 200 Å³ per cell
spin magnetization: 0.00 μB/f.u.
energy of formation: -0.67 eV per atom



First-principles (PBEsol) data for crystalline CaGeRu3 at its relaxed geometry, as listed in the Alexandria database.

a b c (Å): 4.5463 4.5463 4.5463
angles (deg): 90.00 90.00 90.00
With the nearest neighbours (Å) after each atom.
Space group Pm-3m (No. 221)
Unique sites:
Ca: 0.0000 0.0000 0.0000  12 Ru 3.21
Ge: 0.5000 0.5000 0.5000  6 Ru 2.27
Ru: 0.0000 0.5000 0.5000  2 Ge 2.27

Computed properties:
E_tot: -33.989 eV/f.u.
volume: 94 Å³ per cell
spin magnetization: 1.39 μB/f.u.
energy of formation: 0.72 eV per atom



First-principles (PBEsol) data for crystalline Ca3GeRu at its relaxed geometry, as listed in the Alexandria database.

a b c (Å): 5.2326 5.2326 5.2326
angles (deg): 90.00 90.00 90.00
With the nearest neighbours (Å) after each atom.
Space group Pm-3m (No. 221)
Unique sites:
Ca: 0.0000 0.0000 0.5000  2 Ru 2.62
Ge: 0.5000 0.5000 0.5000  12 Ca 3.70
Ru: 0.0000 0.0000 0.0000  6 Ca 2.62

Computed properties:
E_tot: -19.867 eV/f.u.
volume: 143 Å³ per cell
spin magnetization: 1.52 μB/f.u.
energy of formation: 0.33 eV per atom



Number 1: DOS(E_F) 0.779 states/eV per atom. Number 2: DOS(E_F) 0.284 states/eV per atom. Number 3: DOS(E_F) 0.356 states/eV per atom. Number 4: DOS(E_F) 0.377 states/eV per atom. Number 5: DOS(E_F) 1.510 states/eV per atom. Number 6: DOS(E_F) 1.320 states/eV per atom.